VASP calculation (PBE+U) on a relaxed BaZnCr2O8 crystal.

Crystal system = trigonal
Energy = -6.424 eV per atom

```
BaZnCr2O8
1.0
5.1183 0.0000 0.0000
2.5591 4.4326 0.0000
2.5591 1.4775 7.4743
Zn O Ba Cr
1 8 1 2
Cartesian
0.0000 0.0000 0.0000
2.5591 1.4775 3.3918
6.9421 2.8944 1.2434
4.1539 1.4058 1.2434
5.9777 1.3452 6.2309
4.2588 4.5649 1.2434
6.0827 4.5043 6.2309
3.2944 3.0156 6.2309
7.6774 4.4326 4.0825
5.1183 2.9550 3.7372
2.5591 1.4775 1.7240
7.6774 4.4326 5.7504
```